Entry 1:
The following is a PBE-GGA calculation of a geometry-optimized Tl5GaHg4 structure, from Alexandria.

Output
* magnetization: 0.0 μB per formula unit
* DOS(E_F): 7.49 states/eV/cell
* total energy: -31.18 eV per cell

Cell: 10.157 10.157 5.817 Å, 90.00 90.00 90.00°
Space group I4 (No. 79)
Inequivalent atoms, fractional coordinates:
Tl (0.000, 0.000, 0.000) (multiplicity 2)
Tl (0.142, 0.245, 0.503) (multiplicity 8)
Ga (0.000, 0.000, 0.500) (multiplicity 2)
Hg (0.056, 0.349, 0.003) (multiplicity 8)

---

Entry 2:
The following is a PBE-GGA calculation of a geometry-optimized LiSe structure, from Alexandria.

Output
* magnetization: 0.0 μB per formula unit
* DOS(E_F): 3.81 states/eV/cell
* raw formation energy: -767 meV per atom
* total energy: -13.86 eV per cell

Cell: 4.525 5.613 2.851 Å, 90.00 90.00 90.00°
Space group Pmmn (No. 59, origin choice 2)
Inequivalent atoms, fractional coordinates:
Li (0.250, 0.250, 0.249) (multiplicity 2)
Se (0.250, 0.750, 0.250) (multiplicity 2)